! PBE RbCuF2, relaxed; values from VASP
&SYSTEM
  ibrav = 0, nat = 8, ntyp = 3
/
ATOMIC_SPECIES
F 19.00 F.upf
Cu 63.55 Cu.upf
Rb 85.47 Rb.upf
CELL_PARAMETERS angstrom
4.430 0.460 0.000
-1.380 6.648 0.000
-1.525 -3.554 5.459
ATOMIC_POSITIONS angstrom
F -0.187 0.071 3.781
F -0.503 3.253 3.781
F 1.712 3.483 1.678
F 2.029 0.301 1.678
Cu 1.180 5.216 1.893
Rb 1.870 1.892 4.247
Cu 0.345 -1.662 3.566
Rb -0.345 1.662 1.213
! - Mass density: 3.78 g/cm³
! - Density of states at the Fermi level: 0.000 states/eV/cell
! - Uncorrected formation energy: -727 kJ/mol of formula units
! - Uncorrected energy: -4.085 eV/atom
! - Energy above the most stable polymorph in this dataset: 0.036 eV/atom

! PBE Cu2SiSBr, relaxed; values from VASP
&SYSTEM
  ibrav = 0, nat = 5, ntyp = 4
/
ATOMIC_SPECIES
Si 28.09 Si.upf
Br 79.90 Br.upf
Cu 63.55 Cu.upf
S 32.06 S.upf
CELL_PARAMETERS angstrom
-0.249 4.652 1.196
-4.187 -0.456 0.904
1.103 -1.110 4.548
ATOMIC_POSITIONS angstrom
Si 0.000 0.000 0.000
Br -1.666 1.543 3.324
Cu 0.551 -0.555 2.274
Cu -0.124 2.326 0.598
S -2.093 -0.228 0.452
! - Mass density: 4.45 g/cm³
! - Density of states at the Fermi level: 1.783 states/eV/cell
! - Uncorrected formation energy: 228 kJ/mol of formula units
! - Uncorrected energy: -3.411 eV/atom